# KZrAg2Cl8 PBE optimized geometry
# Fermi-level density of states = 1.69 states/eV/f.u.
# Uncorrected formation energy = -1212 meV/atom
data_KZrAg2Cl8
_space_group_name_H-M_alt 'P -1'
_space_group_IT_number 2
_cell_length_a 6.493
_cell_length_b 6.790
_cell_length_c 8.695
_cell_angle_alpha 96.56
_cell_angle_beta 106.75
_cell_angle_gamma 93.52
loop_
_space_group_symop_operation_xyz
'x,y,z'
'-x,-y,-z'
loop_
_atom_site_label
_atom_site_type_symbol
_atom_site_fract_x
_atom_site_fract_y
_atom_site_fract_z
_atom_site_occupancy
K1 K 0.000 0.000 0.000 1
Zr1 Zr 0.000 0.000 0.500 1
Ag1 Ag 0.460 0.412 0.797 1
Cl1 Cl 0.212 0.334 0.519 1
Cl2 Cl 0.215 0.848 0.334 1
Cl3 Cl 0.216 0.479 0.980 1
Cl4 Cl 0.268 0.927 0.750 1